Zn2ReAu | PBE | relaxed Values from VASP.

```
&SYSTEM
  ibrav = 0, nat = 4, ntyp = 3
/
ATOMIC_SPECIES
Zn 65.41 Zn.upf
Re 186.21 Re.upf
Au 196.97 Au.upf
CELL_PARAMETERS angstrom
2.776 0.000 0.000
0.000 3.662 0.000
0.000 0.000 5.996
ATOMIC_POSITIONS crystal
Zn 0.000 0.000 0.238
Zn 0.000 0.000 0.762
Re 0.500 0.500 0.000
Au 0.500 0.500 0.500
```

## Properties
The value obtained for the volume is 61 Å³ per cell. The space group is Pmmm. As for the energy above the most stable polymorph in this dataset: 111 meV/atom. For the total magnetic moment, the calculation gives 0.00 μB per cell.